DFT (PBE-GGA) results for an optimized crystal structure of BaRh2.

The structure belongs to space group I4_1/amd (No. 141, origin choice 2); the cell edges are 4.531, 4.531 and 14.624 Å and the angles 90.00°, 90.00° and 90.00°. Symmetry generates all atoms from Ba at (0.000, 0.250, 0.375) and Rh at (0.000, 0.250, 0.791).

The formation enthalpy at 0 K comes out at 4 meV/atom.